Computed, not measured: a relaxed structure of CsO2F2 at the GGA-PBE level of DFT.

Calculated values
DFT total energy: -3.246 eV/atom
Energy relative to the lowest polymorph listed for this composition: 0 meV/atom
Energy relative to the elements, uncorrected: -7.91 kcal/mol of atoms
Size of the total moment: 0.215 μB/atom

Structure (CIF):
```
data_CsO2F2
_chemical_formula_sum 'Cs1 O2 F2'
_symmetry_space_group_name_H-M 'P 4/m m m'
_symmetry_Int_Tables_number 123
_symmetry_space_group_name_Hall '-P 4 2'
_cell_length_a 5.168
_cell_length_b 5.168
_cell_length_c 3.167
_cell_angle_alpha 90.00
_cell_angle_beta 90.00
_cell_angle_gamma 90.00
loop_
_atom_site_label
_atom_site_fract_x
_atom_site_fract_y
_atom_site_fract_z
Cs1 0.000 0.000 0.000
O1 0.500 0.500 0.000
O2 0.500 0.500 0.500
F1 0.000 0.500 0.500
```